Compound: TlPAu2
Source: Alexandria via LeMat-Bulk
Functional: SCAN
Structure: PBEsol geometry

Its total energy is -55.18 eV/atom. The calculated formation energy is 0.331 eV per formula unit. The distance to the lowest polymorph of the same formula is 177 meV per atom.

The space group is P4mm (No. 99) and the conventional cell measures 3.438, 3.438 and 7.373 Å, with angles of 90.00, 90.00 and 90.00 degrees. The inequivalent atoms are Tl at (0.000, 0.000, 0.000), P at (0.500, 0.500, 0.542), Au at (0.000, 0.000, 0.612) and Au at (0.500, 0.500, 0.224).